Compound: YHo2Er5
Source: the Alexandria database
Functional: GGA-PBE
Structure: optimized geometry

a b c (Å): 7.0373 14.0745 4.9695
angles (deg): 90.00 90.00 90.00
Space group Pbam (No. 55)
Unique sites:
Y1 0.0000 0.0000 0.0000 [2 per cell]
Ho1 0.2490 0.3746 0.5000 [4 per cell]
Er1 0.0000 0.5000 0.0000 [2 per cell]
Er2 0.0005 0.7492 0.0000 [4 per cell]
Er3 0.2502 0.1256 0.5000 [4 per cell]


Compound: Y2Ho3Er7
Source: the Alexandria database
Functional: GGA-PBE
Structure: optimized geometry

a b c (Å): 5.6295 37.4584 3.5649
angles (deg): 90.00 90.00 90.00
Space group Cmmm (No. 65)
Unique sites:
Y1 0.0000 0.1473 0.0000 [4 per cell]
Ho1 0.0000 0.3144 0.5000 [4 per cell]
Ho2 0.0000 0.5000 0.5000 [2 per cell]
Er1 0.0000 0.0000 0.0000 [2 per cell]
Er2 0.0000 0.0712 0.5000 [4 per cell]
Er3 0.0000 0.2309 0.0000 [4 per cell]
Er4 0.0000 0.4087 0.0000 [4 per cell]


Compound: YHo10Er2
Source: the Alexandria database
Functional: GGA-PBE
Structure: optimized geometry

a b c (Å): 6.5146 15.4148 16.9937
angles (deg): 90.00 90.00 90.00
Space group Fmmm (No. 69)
Unique sites:
Y1 0.0000 0.0000 0.0000 [4 per cell]
Ho1 0.0000 0.1039 0.3980 [16 per cell]
Ho2 0.0000 0.1812 0.1684 [16 per cell]
Ho3 0.2500 0.0000 0.2500 [8 per cell]
Er1 0.2500 0.2500 0.0000 [8 per cell]


Compound: Y2Ho4Er7
Source: the Alexandria database
Functional: GGA-PBE
Structure: optimized geometry

a b c (Å): 6.0169 6.0169 13.2049
angles (deg): 90.00 90.00 120.00
Space group P-31m (No. 162)
Unique sites:
Y1 0.3333 0.6667 0.0000 [2 per cell]
Ho1 0.0000 0.0000 0.3942 [2 per cell]
Ho2 0.3333 0.6667 0.5000 [2 per cell]
Er1 0.0000 0.0000 0.0000 [1 per cell]
Er2 0.0000 0.3520 0.2154 [6 per cell]


| no. | ΔH_f (0 K) (meV/atom) |
| --- | --- |
| 1 | 20 |
| 2 | 117 |
| 3 | 286 |
| 4 | 182 |